VASP calculation (PBEsol) on a relaxed structure of Y2HgMo.

Cell: 3.6346 4.9444 4.9438 Å, 90.00 89.98 90.00°
Element x y z (fractional)
Y (0.8750, 0.5000, 0.3750)
Y (0.8750, 0.0000, 0.8745)
Mo (0.3750, 0.5000, 0.8763)
Hg (0.3750, 0.0000, 0.3742)

Output
- total magnetization (μB/atom) = 0.008
- density of states at the Fermi level (states/eV per cell) = 6.1
- energy (eV per atom) = -6.4361

---

VASP calculation (PBEsol) on a relaxed structure of YHg2Mo.

Cell: 3.1091 5.1952 5.1952 Å, 108.81 90.00 90.00°
Element x y z (fractional)
Mo (0.5000, 0.0000, 0.0000)
Hg (0.0000, 0.5000, 0.0000)
Hg (0.0000, 0.0000, 0.5000)
Y (0.5000, 0.5000, 0.5000)

Output
- total magnetization (μB/atom) = 0.000
- density of states at the Fermi level (states/eV per cell) = 2.3
- energy (eV per atom) = -4.8140